DySnRh4 | Alexandria | PBE | optimized geometry; Fermi-level density of states = 4.86 states/eV/cell; E above lowest polymorph = 0 meV per atom; total DFT energy (no corrections) = -6.825 eV/atom; ΔE_f = -0.49 eV per atom
1.0
0.000 3.739 3.739
3.739 0.000 3.739
3.739 3.739 0.000
Dy Sn Rh
1 1 4
Direct
0.000 0.000 0.000 Dy
0.250 0.250 0.250 Sn
0.128 0.624 0.624 Rh
0.624 0.128 0.624 Rh
0.624 0.624 0.128 Rh
0.624 0.624 0.624 Rh